(1)
! HfCu2Cl8 | Alexandria via LeMat-Bulk | PBE | relaxed; values from VASP
! Energy relative to the elements, uncorrected ... -1.018 eV/atom
! E ... -44.1 eV per cell
&SYSTEM
  ibrav = 0, nat = 11, ntyp = 3
/
ATOMIC_SPECIES
Hf 178.49 Hf.upf
Cl 35.45 Cl.upf
Cu 63.55 Cu.upf
CELL_PARAMETERS angstrom
5.964 -1.019 -0.712
-0.409 7.359 -1.401
-0.409 1.217 7.392
ATOMIC_POSITIONS crystal
Hf 0.000 0.000 0.000
Cl 0.176 0.579 0.579
Cl 0.805 0.930 0.255
Cl 0.824 0.421 0.421
Cl 0.195 0.745 0.070
Cl 0.687 0.787 0.787
Cl 0.195 0.070 0.745
Cl 0.805 0.255 0.930
Cl 0.313 0.213 0.213
Cu 0.325 0.797 0.797
Cu 0.675 0.203 0.203

(2)
! HfCu3Cl | Alexandria via LeMat-Bulk | PBE | relaxed; values from VASP
! Energy relative to the elements, uncorrected ... 1.224 eV/atom
! Energy above the most stable polymorph in this dataset ... 339 meV/atom
! E ... -18.0 eV per cell
! DOS at the Fermi energy ... 0.25 states/eV/atom
&SYSTEM
  ibrav = 0, nat = 5, ntyp = 3
/
ATOMIC_SPECIES
Cl 35.45 Cl.upf
Cu 63.55 Cu.upf
Hf 178.49 Hf.upf
CELL_PARAMETERS angstrom
5.030 0.000 0.000
0.000 5.030 0.000
0.000 0.000 5.030
ATOMIC_POSITIONS crystal
Cl 0.500 0.500 0.500
Cu 0.000 0.000 0.500
Cu 0.000 0.500 0.000
Cu 0.500 0.000 0.000
Hf 0.000 0.000 0.000

(3)
! HfCuCl2 | Alexandria via LeMat-Bulk | PBE | relaxed; values from VASP
! Energy relative to the elements, uncorrected ... 0.081 eV/atom
! Energy above the most stable polymorph in this dataset ... 164 meV/atom
! E ... -34.8 eV per cell
! DOS at the Fermi energy ... 0.62 states/eV/atom
&SYSTEM
  ibrav = 0, nat = 8, ntyp = 3
/
ATOMIC_SPECIES
Cl 35.45 Cl.upf
Hf 178.49 Hf.upf
Cu 63.55 Cu.upf
CELL_PARAMETERS angstrom
5.952 0.000 0.000
0.000 5.952 0.000
2.976 2.976 4.874
ATOMIC_POSITIONS crystal
Cl 0.588 0.125 0.250
Cl 0.162 0.625 0.250
Cl 0.375 0.412 0.750
Cl 0.875 0.838 0.750
Hf 0.000 0.000 0.000
Hf 0.750 0.250 0.500
Cu 0.500 0.500 0.000
Cu 0.250 0.750 0.500

(4)
! HfCuCl3 | Alexandria via LeMat-Bulk | PBE | relaxed; values from VASP
! Energy relative to the elements, uncorrected ... -0.536 eV/atom
! Energy above the most stable polymorph in this dataset ... 0 meV/atom
! E ... -22.3 eV per cell
! DOS at the Fermi energy ... 0.63 states/eV/atom
&SYSTEM
  ibrav = 0, nat = 5, ntyp = 3
/
ATOMIC_SPECIES
Cu 63.55 Cu.upf
Hf 178.49 Hf.upf
Cl 35.45 Cl.upf
CELL_PARAMETERS angstrom
-3.896 -0.009 3.080
-0.319 -4.939 -0.418
3.063 -0.526 3.874
ATOMIC_POSITIONS crystal
Cu 0.500 0.500 0.500
Hf 0.000 0.000 0.000
Cl 0.000 0.500 0.000
Cl 0.500 0.000 0.000
Cl 0.000 0.000 0.500

(5)
! Hf2CuCl | Alexandria via LeMat-Bulk | PBE | relaxed; values from VASP
! Energy relative to the elements, uncorrected ... -0.057 eV/atom
! Energy above the most stable polymorph in this dataset ... 0 meV/atom
! E ... -26.1 eV per cell
! DOS at the Fermi energy ... 0.35 states/eV/atom
&SYSTEM
  ibrav = 0, nat = 4, ntyp = 3
/
ATOMIC_SPECIES
Cu 63.55 Cu.upf
Hf 178.49 Hf.upf
Cl 35.45 Cl.upf
CELL_PARAMETERS angstrom
0.000 3.282 3.282
3.282 0.000 3.282
3.282 3.282 0.000
ATOMIC_POSITIONS crystal
Cu 0.500 0.500 0.500
Hf 0.750 0.750 0.750
Hf 0.250 0.250 0.250
Cl 0.000 0.000 0.000

(6)
! HfCuCl3 | Alexandria via LeMat-Bulk | PBE | relaxed; values from VASP
! Energy relative to the elements, uncorrected ... 0.049 eV/atom
! Energy above the most stable polymorph in this dataset ... 585 meV/atom
! E ... -19.3 eV per cell
! DOS at the Fermi energy ... 1.64 states/eV/atom
&SYSTEM
  ibrav = 0, nat = 5, ntyp = 3
/
ATOMIC_SPECIES
Cl 35.45 Cl.upf
Hf 178.49 Hf.upf
Cu 63.55 Cu.upf
CELL_PARAMETERS angstrom
4.713 0.000 0.000
0.000 4.713 0.000
0.000 0.000 4.713
ATOMIC_POSITIONS crystal
Cl 0.500 0.000 0.000
Cl 0.000 0.000 0.500
Cl 0.000 0.500 0.000
Hf 0.500 0.500 0.500
Cu 0.000 0.000 0.000

(7)
! KHfCuCl6 | Alexandria via LeMat-Bulk | PBE | relaxed; values from VASP
! Energy relative to the elements, uncorrected ... -1.546 eV/atom
! E ... -80.3 eV per cell
&SYSTEM
  ibrav = 0, nat = 18, ntyp = 4
/
ATOMIC_SPECIES
Cl 35.45 Cl.upf
Cu 63.55 Cu.upf
K 39.10 K.upf
Hf 178.49 Hf.upf
CELL_PARAMETERS angstrom
6.569 0.000 0.000
-3.284 5.689 0.000
0.000 0.000 13.927
ATOMIC_POSITIONS crystal
Cl 0.635 0.623 0.148
Cl 0.635 0.012 0.352
Cl 0.365 0.988 0.648
Cl 0.365 0.377 0.852
Cl 0.377 0.012 0.148
Cl 0.623 0.635 0.648
Cl 0.377 0.365 0.352
Cl 0.012 0.377 0.648
Cl 0.012 0.635 0.852
Cl 0.623 0.988 0.852
Cl 0.988 0.365 0.148
Cl 0.988 0.623 0.352
Cu 0.333 0.667 0.250
Cu 0.667 0.333 0.750
K 0.000 0.000 0.500
K 0.000 0.000 0.000
Hf 0.667 0.333 0.250
Hf 0.333 0.667 0.750

(8)
! HfCuNCl2 | Alexandria via LeMat-Bulk | PBE | relaxed; values from VASP
! Energy relative to the elements, uncorrected ... 0.484 eV/atom
! E ... -23.6 eV per cell
! DOS at the Fermi energy ... 0.62 states/eV/atom
&SYSTEM
  ibrav = 0, nat = 5, ntyp = 4
/
ATOMIC_SPECIES
Cu 63.55 Cu.upf
Hf 178.49 Hf.upf
N 14.01 N.upf
Cl 35.45 Cl.upf
CELL_PARAMETERS angstrom
5.130 0.000 0.000
0.000 3.979 0.000
0.000 0.000 5.130
ATOMIC_POSITIONS crystal
Cu 0.500 0.500 0.500
Hf 0.000 0.500 0.000
N 0.000 0.000 0.000
Cl 0.500 0.000 0.000
Cl 0.000 0.000 0.500

(9)
! NaHfCu2Cl8 | Alexandria via LeMat-Bulk | PBE | relaxed; values from VASP
! Energy relative to the elements, uncorrected ... -1.274 eV/atom
! E ... -49.5 eV per cell
! DOS at the Fermi energy ... 0.05 states/eV/atom
&SYSTEM
  ibrav = 0, nat = 12, ntyp = 4
/
ATOMIC_SPECIES
Cu 63.55 Cu.upf
Cl 35.45 Cl.upf
Hf 178.49 Hf.upf
Na 22.99 Na.upf
CELL_PARAMETERS angstrom
6.682 -1.851 0.271
-1.750 7.254 0.749
0.094 1.106 7.868
ATOMIC_POSITIONS crystal
Cu 0.405 0.405 0.687
Cu 0.595 0.595 0.313
Cl 0.983 0.237 0.732
Cl 0.585 0.783 0.051
Cl 0.017 0.763 0.268
Cl 0.982 0.222 0.172
Cl 0.018 0.778 0.828
Cl 0.523 0.730 0.525
Cl 0.477 0.270 0.475
Cl 0.415 0.217 0.949
Hf 0.000 0.000 0.000
Na 0.000 0.000 0.500

(10)
! NaHfCuCl6 | Alexandria via LeMat-Bulk | PBE | relaxed; values from VASP
! Energy relative to the elements, uncorrected ... -1.488 eV/atom
! E ... -79.7 eV per cell
&SYSTEM
  ibrav = 0, nat = 18, ntyp = 4
/
ATOMIC_SPECIES
Cu 63.55 Cu.upf
Cl 35.45 Cl.upf
Hf 178.49 Hf.upf
Na 22.99 Na.upf
CELL_PARAMETERS angstrom
-0.768 5.189 3.749
3.392 -5.048 2.139
10.507 5.025 -4.803
ATOMIC_POSITIONS crystal
Cu 0.333 0.667 0.250
Cu 0.667 0.333 0.750
Cl 0.352 0.364 0.863
Cl 0.352 0.989 0.637
Cl 0.636 0.989 0.863
Cl 0.648 0.011 0.363
Cl 0.989 0.352 0.137
Cl 0.011 0.648 0.863
Cl 0.648 0.636 0.137
Cl 0.364 0.011 0.137
Cl 0.011 0.364 0.637
Cl 0.636 0.648 0.637
Cl 0.989 0.636 0.363
Cl 0.364 0.352 0.363
Hf 0.333 0.667 0.750
Hf 0.667 0.333 0.250
Na 0.000 0.000 0.500
Na 0.000 0.000 0.000

(11)
! HfCuPCl2 | Alexandria via LeMat-Bulk | PBE | relaxed; values from VASP
! Energy relative to the elements, uncorrected ... -0.273 eV/atom
! Energy above the most stable polymorph in this dataset ... 0 meV/atom
! E ... -24.5 eV per cell
! DOS at the Fermi energy ... 0.13 states/eV/atom
&SYSTEM
  ibrav = 0, nat = 5, ntyp = 4
/
ATOMIC_SPECIES
Cu 63.55 Cu.upf
Hf 178.49 Hf.upf
P 30.97 P.upf
Cl 35.45 Cl.upf
CELL_PARAMETERS angstrom
-4.466 1.627 1.087
-1.429 -0.862 -4.582
-1.415 -4.780 1.340
ATOMIC_POSITIONS crystal
Cu 0.500 0.500 0.500
Hf 0.000 0.000 0.000
P 0.000 0.000 0.500
Cl 0.000 0.500 0.000
Cl 0.500 0.000 0.000

(12)
! HfCuP2Cl | Alexandria via LeMat-Bulk | PBE | relaxed; values from VASP
! Energy relative to the elements, uncorrected ... 0.359 eV/atom
! Energy above the most stable polymorph in this dataset ... 129 meV/atom
! E ... -24.9 eV per cell
! DOS at the Fermi energy ... 0.43 states/eV/atom
&SYSTEM
  ibrav = 0, nat = 5, ntyp = 4
/
ATOMIC_SPECIES
Cl 35.45 Cl.upf
Hf 178.49 Hf.upf
P 30.97 P.upf
Cu 63.55 Cu.upf
CELL_PARAMETERS angstrom
4.483 0.000 0.000
0.000 4.483 0.000
0.000 0.000 4.543
ATOMIC_POSITIONS crystal
Cl 0.000 0.000 0.500
Hf 0.500 0.500 0.500
P 0.000 0.500 0.000
P 0.500 0.000 0.000
Cu 0.000 0.000 0.000

Which value of energy relative to the elements, uncorrected does entry 8 give?
0.484 eV/atom